Here is an optimized crystal structure of NpB3Ir3 from Alexandria via LeMat-Bulk. Energies are from PBE.

Computed properties:
The calculation puts the energy of formation at -213 meV per atom. Its space-group type is No. 176. Its total energy is -8.721 eV/atom.

abc: 7.738 7.738 3.649
angles: 90.00 90.00 120.00
Positions (direct):
Np 0.333 0.667 0.250
Np 0.667 0.333 0.750
B 0.052 0.436 0.750
B 0.383 0.948 0.750
B 0.436 0.383 0.250
B 0.564 0.617 0.750
B 0.617 0.052 0.250
B 0.948 0.564 0.250
Ir 0.068 0.732 0.750
Ir 0.268 0.336 0.750
Ir 0.336 0.068 0.250
Ir 0.664 0.932 0.750
Ir 0.732 0.664 0.250
Ir 0.932 0.268 0.250